Entry 1:
BaBi2Te: PBEsol geometry, meta-GGA SCAN.

a = 6.619 Å, b = 7.458 Å, c = 7.458 Å
α = 78.64°, β = 63.66°, γ = 63.66°
Positions (direct):
Te 0.250 0.500 0.500
Te 0.500 0.000 0.000
Ba 0.000 0.000 0.000
Ba 0.750 0.500 0.500
Bi 0.875 0.538 0.962
Bi 0.163 0.962 0.462
Bi 0.587 0.038 0.538
Bi 0.375 0.462 0.038

Computed properties:
The formation energy without anion corrections comes out at -0.435 eV per atom.

=====

Entry 2:
BaTi2Bi2: PBEsol geometry, meta-GGA SCAN.

a = 4.346 Å, b = 4.346 Å, c = 7.968 Å
α = 105.82°, β = 105.82°, γ = 90.00°
Last column: magnetic moment on the atom in μB.
Positions (direct):
Ti 0.250 0.750 0.500  0.90
Ti 0.750 0.250 0.500  0.90
Bi 0.373 0.373 0.747  -0.03
Bi 0.627 0.627 0.253  -0.03
Ba 0.000 0.000 0.000  -0.01

Computed properties:
The value obtained for the calculated formation energy is -0.4656 eV/atom.

=====

Values of M_tot, in order: 0.0 2.1, all in Bohr magnetons per cell.